The following is a PBE+U calculation of a geometry-optimized BaMn2CrF8 structure, from Alexandria via LeMat-Bulk.

Results
Raw total energy: -6.16 eV per atom

a b c (Å): 5.1034 7.0852 5.3576
angles (deg): 90.00 93.91 90.00
With the nearest neighbours (Å) after each atom.
Element x y z (fractional)
Ba 0.0000 0.0000 0.0000  6 F 2.55-2.60
Mn 0.5000 0.2689 0.5000  6 F 2.13-2.28
Mn 0.5000 0.7311 0.5000  6 F 2.13-2.28
Cr 0.0000 0.5000 0.0000  4 F 2.06
F 0.1822 0.2955 0.2219  1 Cr 2.06, 1 Mn 2.13
F 0.1822 0.7045 0.2219  1 Cr 2.06, 1 Mn 2.13
F 0.3291 0.5000 0.6945  2 Mn 2.16
F 0.3718 0.0000 0.6915  2 Mn 2.28, 1 F 2.51
F 0.6282 0.0000 0.3085  2 Mn 2.28, 1 F 2.51
F 0.6709 0.5000 0.3055  2 Mn 2.16
F 0.8178 0.2955 0.7781  1 Cr 2.06, 1 Mn 2.13
F 0.8178 0.7045 0.7781  1 Cr 2.06, 1 Mn 2.13